The following is a PBE calculation of a relaxed structure of PaSn6, from Alexandria via LeMat-Bulk.

Calculated values
Density of states at the Fermi level in states/eV/f.u.: 14.8
DFT formation energy in eV/atom: 0.71
Total magnetization in Bohr magnetons per cell: 2.973
Crystal system: cubic

a b c (Å): 6.9759 6.9759 6.9759
angles (deg): 109.47 109.47 109.47
Each line ends with the local moment (μB).
Element x y z (fractional)
Pa1 0.0000 0.0000 0.0000  2.22
Sn1 0.2500 0.7500 0.5000  0.01
Sn2 0.5000 0.7500 0.2500  0.01
Sn3 0.2500 0.5000 0.7500  0.01
Sn4 0.7500 0.2500 0.5000  0.01
Sn5 0.5000 0.2500 0.7500  0.01
Sn6 0.7500 0.5000 0.2500  0.01